[1]
DFT (PBE) results for a relaxed Ca2SbAs crystal.

- E_form (uncorrected) (eV/atom) = -0.82
- total moment (μB per formula unit) = 0.00
- space group = No. 166
- calculated total energy (eV/atom) = -4.019

abc: 8.7831 8.7831 8.7831
angles: 26.23 26.23 26.23
Last column: nearest neighbours and their distance in Å.
Positions (direct):
Ca: 0.0130 0.0130 0.0130  3 As 2.91
As: 0.7500 0.7500 0.7500  6 Ca 2.91
Sb: 0.2500 0.2500 0.2500  6 Ca 3.36
Ca: 0.4870 0.4870 0.4870  3 As 2.91

[2]
DFT (PBE) results for a relaxed NaSr2TcO5 crystal.

- E_form (uncorrected) (eV/atom) = -2.05
- total moment (μB per formula unit) = 1.88
- space group = No. 71
- calculated total energy (eV/atom) = -6.481

abc: 3.8703 6.1024 6.8500
angles: 116.45 106.41 90.00
Last column: nearest neighbours and their distance in Å.
Positions (direct):
O: 0.3735 0.0974 0.7470  1 Tc 2.01
Sr: 0.7793 0.7793 0.5586  7 O 2.45-2.61
Sr: 0.2207 0.2207 0.4414  7 O 2.45-2.61
Na: 0.0000 0.5000 0.0000  10 O 2.96-3.05
O: 0.6265 0.9026 0.2530  1 Tc 2.01
Tc: 0.5000 0.0000 0.0000  6 O 1.94-2.01
O: 0.6265 0.3505 0.2530  1 Tc 2.01
O: 0.0000 0.0000 0.0000  2 Tc 1.94
O: 0.3735 0.6495 0.7470  1 Tc 2.01

[3]
DFT (PBE) results for a relaxed Ag3Sn12Au5 crystal.

- total moment (μB per formula unit) = 0.00
- E_form (meV/atom) = 11
- space group = No. 230
- calculated total energy (eV/atom) = -3.638

abc: 14.1763 14.1763 14.1763
angles: 109.47 109.47 109.47
Last column: nearest neighbours and their distance in Å.
Positions (direct):
Sn: 0.7706 0.3291 0.8992  2 Au 2.70-2.80, 1 Ag 2.84
Sn: 0.1008 0.9298 0.3714  2 Au 2.70-2.80, 1 Ag 2.84
Ag: 0.1250 0.2500 0.8750  8 Sn 2.84-3.18
Sn: 0.5702 0.6286 0.3992  2 Au 2.70-2.80, 1 Ag 2.84
Au: 0.0000 0.0000 0.0000  6 Sn 2.80
Ag: 0.6250 0.3750 0.7500  8 Sn 2.84-3.18
Au: 0.8750 0.6250 0.7500  4 Sn 2.70
Sn: 0.9416 0.5702 0.1709  2 Au 2.70-2.80, 1 Ag 2.84
Sn: 0.3714 0.4298 0.1008  2 Au 2.70-2.80, 1 Ag 2.84
Sn: 0.6286 0.0584 0.2294  2 Au 2.70-2.80, 1 Ag 2.84
Sn: 0.8992 0.8291 0.7706  2 Au 2.70-2.80, 1 Ag 2.84
Sn: 0.8714 0.2706 0.4416  2 Au 2.70-2.80, 1 Ag 2.84
Sn: 0.6709 0.4416 0.5702  2 Au 2.70-2.80, 1 Ag 2.84
Sn: 0.6008 0.7294 0.6709  2 Au 2.70-2.80, 1 Ag 2.84
Au: 0.5000 0.5000 0.0000  6 Sn 2.80
Au: 0.6250 0.7500 0.8750  4 Sn 2.70
Sn: 0.6286 0.5702 0.8992  2 Au 2.70-2.80, 1 Ag 2.84
Sn: 0.1286 0.3992 0.0702  2 Au 2.70-2.80, 1 Ag 2.84
Sn: 0.3714 0.9416 0.7706  2 Au 2.70-2.80, 1 Ag 2.84
Ag: 0.7500 0.3750 0.1250  8 Sn 2.84-3.18
Sn: 0.4416 0.6709 0.0702  2 Au 2.70-2.80, 1 Ag 2.84
Sn: 0.3992 0.2706 0.3291  2 Au 2.70-2.80, 1 Ag 2.84
Sn: 0.7294 0.1286 0.0584  2 Au 2.70-2.80, 1 Ag 2.84
Sn: 0.3291 0.5584 0.4298  2 Au 2.70-2.80, 1 Ag 2.84
Sn: 0.9298 0.8291 0.5584  2 Au 2.70-2.80, 1 Ag 2.84
Sn: 0.2294 0.5584 0.6286  2 Au 2.70-2.80, 1 Ag 2.84
Sn: 0.9416 0.3714 0.2706  2 Au 2.70-2.80, 1 Ag 2.84
Au: 0.0000 0.0000 0.5000  6 Sn 2.80
Ag: 0.7500 0.8750 0.6250  8 Sn 2.84-3.18
Au: 0.5000 0.0000 0.0000  6 Sn 2.80
Sn: 0.4416 0.7706 0.8714  2 Au 2.70-2.80, 1 Ag 2.84
Sn: 0.6709 0.2294 0.6008  2 Au 2.70-2.80, 1 Ag 2.84
Au: 0.7500 0.6250 0.3750  4 Sn 2.70
Au: 0.5000 0.5000 0.5000  6 Sn 2.80
Sn: 0.5702 0.9416 0.6709  2 Au 2.70-2.80, 1 Ag 2.84
Au: 0.3750 0.1250 0.7500  4 Sn 2.70
Au: 0.6250 0.8750 0.2500  4 Sn 2.70
Sn: 0.5584 0.3291 0.9298  2 Au 2.70-2.80, 1 Ag 2.84
Sn: 0.0702 0.8992 0.1286  2 Au 2.70-2.80, 1 Ag 2.84
Sn: 0.7294 0.6008 0.1709  2 Au 2.70-2.80, 1 Ag 2.84
Sn: 0.1709 0.1008 0.7294  2 Au 2.70-2.80, 1 Ag 2.84
Ag: 0.8750 0.7500 0.1250  8 Sn 2.84-3.18
Sn: 0.8714 0.6008 0.9298  2 Au 2.70-2.80, 1 Ag 2.84
Sn: 0.9298 0.1008 0.8714  2 Au 2.70-2.80, 1 Ag 2.84
Sn: 0.0584 0.6286 0.7294  2 Au 2.70-2.80, 1 Ag 2.84
Ag: 0.8750 0.1250 0.2500  8 Sn 2.84-3.18
Au: 0.1250 0.7500 0.3750  4 Sn 2.70
Sn: 0.4298 0.0584 0.3291  2 Au 2.70-2.80, 1 Ag 2.84
Sn: 0.2294 0.6709 0.1008  2 Au 2.70-2.80, 1 Ag 2.84
Sn: 0.2706 0.3992 0.8291  2 Au 2.70-2.80, 1 Ag 2.84
Sn: 0.0584 0.4298 0.8291  2 Au 2.70-2.80, 1 Ag 2.84
Au: 0.0000 0.5000 0.5000  6 Sn 2.80
Sn: 0.0702 0.1709 0.4416  2 Au 2.70-2.80, 1 Ag 2.84
Au: 0.5000 0.0000 0.5000  6 Sn 2.80
Ag: 0.2500 0.6250 0.8750  8 Sn 2.84-3.18
Sn: 0.7706 0.4416 0.3714  2 Au 2.70-2.80, 1 Ag 2.84
Sn: 0.8291 0.9298 0.0584  2 Au 2.70-2.80, 1 Ag 2.84
Sn: 0.1286 0.7294 0.5584  2 Au 2.70-2.80, 1 Ag 2.84
Sn: 0.2706 0.8714 0.9416  2 Au 2.70-2.80, 1 Ag 2.84
Au: 0.3750 0.2500 0.1250  4 Sn 2.70
Ag: 0.2500 0.1250 0.3750  8 Sn 2.84-3.18
Au: 0.2500 0.8750 0.1250  4 Sn 2.70
Ag: 0.3750 0.7500 0.6250  8 Sn 2.84-3.18
Au: 0.8750 0.2500 0.6250  4 Sn 2.70
Sn: 0.3291 0.7706 0.3992  2 Au 2.70-2.80, 1 Ag 2.84
Sn: 0.1008 0.1709 0.2294  2 Au 2.70-2.80, 1 Ag 2.84
Ag: 0.6250 0.2500 0.3750  8 Sn 2.84-3.18
Sn: 0.4298 0.3714 0.6008  2 Au 2.70-2.80, 1 Ag 2.84
Sn: 0.6008 0.8714 0.4298  2 Au 2.70-2.80, 1 Ag 2.84
Sn: 0.1709 0.0702 0.9416  2 Au 2.70-2.80, 1 Ag 2.84
Sn: 0.5584 0.2294 0.1286  2 Au 2.70-2.80, 1 Ag 2.84
Au: 0.2500 0.3750 0.6250  4 Sn 2.70
Ag: 0.1250 0.8750 0.7500  8 Sn 2.84-3.18
Au: 0.0000 0.5000 0.0000  6 Sn 2.80
Au: 0.1250 0.3750 0.2500  4 Sn 2.70
Sn: 0.3992 0.1286 0.5702  2 Au 2.70-2.80, 1 Ag 2.84
Sn: 0.8992 0.0702 0.6286  2 Au 2.70-2.80, 1 Ag 2.84
Sn: 0.8291 0.8992 0.2706  2 Au 2.70-2.80, 1 Ag 2.84
Au: 0.7500 0.1250 0.8750  4 Sn 2.70
Ag: 0.3750 0.6250 0.2500  8 Sn 2.84-3.18

[4]
DFT (PBE) results for a relaxed NbAlCu2 crystal.

- total moment (μB per formula unit) = 0.00
- E_form (meV/atom) = -140
- space group = No. 123
- calculated total energy (eV/atom) = -5.641

abc: 2.8670 2.8670 6.9032
angles: 90.00 90.00 90.00
Last column: nearest neighbours and their distance in Å.
Positions (direct):
Nb: 0.5000 0.5000 0.5000  8 Cu 2.79, 4 Nb 2.87
Cu: 0.0000 0.0000 0.7778  4 Al 2.54, 4 Nb 2.79
Cu: 0.0000 0.0000 0.2222  4 Al 2.54, 4 Nb 2.79
Al: 0.5000 0.5000 0.0000  8 Cu 2.54

[5]
DFT (PBE) results for a relaxed NbVCd crystal.

- energy above the most stable polymorph in this dataset (eV per atom) = 0.000
- total moment (μB per formula unit) = 0.00
- E_form (meV/atom) = 147
- space group = No. 63
- calculated total energy (eV/atom) = -6.554

abc: 3.3491 14.1480 4.4376
angles: 90.00 90.00 90.00
Last column: nearest neighbours and their distance in Å.
Positions (direct):
Cd: 0.5000 0.7613 0.2500  4 Cd 2.80, 2 V 2.93, 2 Nb 3.08
Nb: 0.5000 0.9218 0.7500  6 V 2.67-2.78
Nb: 0.5000 0.0782 0.2500  6 V 2.67-2.78
V: 0.0000 0.0691 0.7500  6 Nb 2.67-2.78, 2 Cd 2.93, 2 V 2.96
Cd: 0.0000 0.7387 0.7500  4 Cd 2.80, 2 V 2.93, 2 Nb 3.08
Cd: 0.0000 0.2613 0.2500  4 Cd 2.80, 2 V 2.93, 2 Nb 3.08
V: 0.0000 0.9309 0.2500  6 Nb 2.67-2.78, 2 Cd 2.93, 2 V 2.96
Nb: 0.0000 0.4218 0.7500  6 V 2.67-2.78
Cd: 0.5000 0.2387 0.7500  4 Cd 2.80, 2 V 2.93, 2 Nb 3.08
Nb: 0.0000 0.5782 0.2500  6 V 2.67-2.78
V: 0.5000 0.5691 0.7500  6 Nb 2.67-2.78, 2 Cd 2.93, 2 V 2.96
V: 0.5000 0.4309 0.2500  6 Nb 2.67-2.78, 2 Cd 2.93, 2 V 2.96

[6]
DFT (PBE) results for a relaxed CrAsC2 crystal.

- total moment (μB per formula unit) = 2.79
- E_form (meV/atom) = 812
- space group = No. 122
- calculated total energy (eV/atom) = -7.369

abc: 4.7153 4.7153 5.4913
angles: 64.57 64.57 90.00
Last column: nearest neighbours and their distance in Å.
Positions (direct):
As: 0.7500 0.2500 0.5000  4 C 1.96
C: 0.6360 0.1250 0.2500  2 As 1.96, 2 Cr 2.02
C: 0.8750 0.8860 0.7500  2 As 1.96, 2 Cr 2.02
Cr: 0.2500 0.7500 0.5000  4 C 2.02
Cr: 0.5000 0.5000 0.0000  4 C 2.02
As: 0.0000 0.0000 0.0000  4 C 1.96
C: 0.1140 0.6250 0.2500  2 As 1.96, 2 Cr 2.02
C: 0.3750 0.3640 0.7500  2 As 1.96, 2 Cr 2.02

[7]
DFT (PBE) results for a relaxed CoTc2Br crystal.

- energy above the most stable polymorph in this dataset (eV per atom) = 0.086
- E_form (uncorrected) (eV/atom) = 0.54
- total moment (μB per formula unit) = 0.79
- space group = No. 47
- calculated total energy (eV/atom) = -6.837

abc: 3.3104 2.9338 6.7811
angles: 90.03 90.00 90.00
Last column: nearest neighbours and their distance in Å.
Positions (direct):
Co: 0.5000 0.7500 0.7500  8 Tc 2.52
Br: 0.5000 0.2500 0.2500  4 Tc 2.74, 2 Br 2.93
Tc: 0.0000 0.2500 0.9284  1 Tc 2.42, 4 Co 2.52
Tc: 0.0000 0.2500 0.5716  1 Tc 2.42, 4 Co 2.52

[8]
DFT (PBE) results for a relaxed ReSbRu2 crystal.

- E_form (uncorrected) (eV/atom) = 0.30
- total moment (μB per formula unit) = 0.00
- space group = No. 65
- calculated total energy (eV/atom) = -8.477

abc: 4.7064 4.7064 2.9166
angles: 89.99 89.99 104.60
Last column: nearest neighbours and their distance in Å.
Positions (direct):
Ru: 0.0000 0.0000 0.0000  4 Sb 2.77, 4 Re 2.77, 4 Ru 2.88-2.92
Ru: 0.5000 0.5000 0.0000  4 Re 2.77, 4 Sb 2.77, 4 Ru 2.88-2.92
Re: 0.0000 0.5000 0.5000  8 Ru 2.77, 2 Sb 2.88, 2 Re 2.92
Sb: 0.5000 0.0000 0.5000  8 Ru 2.77, 2 Re 2.88, 2 Sb 2.92